1.
VASP calculation (PBE-GGA) on La2Te2O after structural relaxation.

Results
Spin magnetization   0.00 Bohr magnetons per cell
Energy relative to the elements, uncorrected   -2.27 eV/atom
Energy above the most stable polymorph in this dataset   0.000 eV per atom
E   -6.4907 eV/atom

a b c (Å): 6.330 8.016 8.016
angles (deg): 51.16 66.75 66.75
Atoms (fractional coordinates):
O 0.250 0.500 0.500
O 0.750 0.500 0.500
La 0.901 0.412 0.787
La 0.401 0.787 0.412
La 0.099 0.588 0.213
La 0.599 0.213 0.588
Te 0.852 0.979 0.317
Te 0.148 0.021 0.683
Te 0.352 0.317 0.979
Te 0.648 0.683 0.021


2.
VASP calculation (PBE-GGA) on La2TeO6 after structural relaxation.

Results
Spin magnetization   0.00 Bohr magnetons per cell
Energy relative to the elements, uncorrected   -2.50 eV/atom
Energy above the most stable polymorph in this dataset   0.041 eV per atom
E   -7.2472 eV/atom

a b c (Å): 5.702 6.211 8.138
angles (deg): 90.00 94.95 90.00
Atoms (fractional coordinates):
La 0.465 0.073 0.253
La 0.035 0.573 0.247
La 0.535 0.927 0.747
La 0.965 0.427 0.753
O 0.860 0.739 0.587
O 0.140 0.261 0.413
O 0.641 0.427 0.218
O 0.360 0.761 0.087
O 0.359 0.573 0.782
O 0.859 0.927 0.282
O 0.141 0.073 0.718
O 0.219 0.341 0.048
O 0.781 0.659 0.952
O 0.640 0.239 0.913
O 0.281 0.841 0.452
O 0.719 0.159 0.548
Te 0.000 0.000 0.500
Te 0.500 0.500 0.000


3.
VASP calculation (PBE-GGA) on La2TeO after structural relaxation.

Results
Spin magnetization   0.00 Bohr magnetons per cell
Energy relative to the elements, uncorrected   -2.09 eV/atom
Energy above the most stable polymorph in this dataset   0.000 eV per atom
E   -6.5764 eV/atom

a b c (Å): 3.999 3.999 7.494
angles (deg): 74.53 74.53 60.00
Atoms (fractional coordinates):
La 0.272 0.272 0.185
La 0.728 0.728 0.815
Te 0.500 0.500 0.500
O 0.000 0.000 0.000